CuReRh2 | GGA-PBEsol | optimized geometry

Its electronic total energy is -0.62708 Ry per atom. The calculation puts the density of states at the Fermi level at 2.507 states/eV per cell.

The space group is Pmmm (No. 47) and the conventional cell measures 2.703, 3.695 and 5.316 Å, with angles of 90.00, 90.00 and 90.00 degrees. Symmetry generates all atoms from Cu at (0.000, 0.000, 0.000), Re at (0.000, 0.000, 0.500) and Rh at (0.500, 0.500, 0.249).